No. 1
The following is a PBE-GGA calculation of an optimized crystal structure of Hf2Tc2O5, from OQMD via LeMat-Bulk.

a = 3.5079 Å, b = 3.5079 Å, c = 8.7827 Å
α = 90.00°, β = 90.00°, γ = 90.00°
Closest atoms and distances in Å follow each position.
Space group P4/mmm (No. 123)
Symmetry-distinct sites (fractional):
Hf (0.0000, 0.0000, 0.2338) x2  5 O 2.05-2.07
Tc (0.5000, 0.5000, 0.0000) x1  4 O 2.48
Tc (0.5000, 0.5000, 0.5000) x1  8 O 2.15
O (0.0000, 0.0000, 0.0000) x1  2 Hf 2.05
O (0.0000, 0.5000, 0.3592) x4  2 Hf 2.07, 2 Tc 2.15

Output
Uncorrected energy, eV per atom: -8.9504
Mass density, Mg/m³: 9.726

***

No. 2
The following is a PBE-GGA calculation of an optimized crystal structure of YFeBW, from OQMD via LeMat-Bulk.

a = 6.1190 Å, b = 6.1190 Å, c = 6.1190 Å
α = 90.00°, β = 90.00°, γ = 90.00°
Closest atoms and distances in Å follow each position.
Space group F-43m (No. 216)
Symmetry-distinct sites (fractional):
Y (0.0000, 0.0000, 0.0000) x4  4 Fe 2.65, 4 W 2.65
Fe (0.2500, 0.2500, 0.7500) x4  4 B 2.65, 4 Y 2.65
B (0.0000, 0.0000, 0.5000) x4  4 W 2.65, 4 Fe 2.65
W (0.2500, 0.2500, 0.2500) x4  4 B 2.65, 4 Y 2.65

Output
Uncorrected energy, eV per atom: -7.4741
Mass density, Mg/m³: 9.840

***

Which of these has the lowest mass density?
Hf2Tc2O5